Density functional theory data (PBE) for crystalline TbPa2CrN5 at its relaxed geometry.

```
TbPa2CrN5
1.0
3.351 0.000 0.000
-1.676 6.849 0.000
0.000 0.000 10.074
Tb N Pa Cr
2 10 4 2
direct
0.203 0.406 0.004
0.797 0.594 0.504
0.716 0.432 0.179
0.664 0.328 0.849
0.284 0.568 0.679
0.966 0.931 0.547
0.519 0.038 0.282
0.481 0.962 0.782
0.629 0.258 0.504
0.371 0.742 0.004
0.034 0.069 0.047
0.336 0.672 0.349
0.862 0.723 0.804
0.890 0.780 0.188
0.138 0.277 0.304
0.110 0.220 0.688
0.516 0.032 0.966
0.484 0.968 0.466
```

- Magnetic moment: 0.000 μB per atom
- Calculated volume: 231.22 Å³ per cell
- Crystal system: orthorhombic
- Total energy: -9.557 eV/atom
- Formation energy (no corrections): -1238 meV per atom
- Symmetry: No. 36